Entry 1:
Here is crystalline LiCaIr2 at its relaxed geometry from Alexandria. Energies are from PBE-GGA.

Structure (CIF):
```
data_LiCaIr2
_chemical_formula_sum 'Li2 Ca2 Ir4'
_space_group_name_H-M_alt 'C 1 2/m 1'
_space_group_IT_number 12
_cell_length_a 9.258
_cell_length_b 2.866
_cell_length_c 5.006
_cell_angle_alpha 90.00
_cell_angle_beta 102.31
_cell_angle_gamma 90.00
loop_
_space_group_symop_operation_xyz
'x,y,z'
'-x,-y,-z'
'-x,y,-z'
'x,-y,z'
'x+1/2,y+1/2,z'
'-x+1/2,-y+1/2,-z'
'-x+1/2,y+1/2,-z'
'x+1/2,-y+1/2,z'
loop_
_atom_site_label
_atom_site_fract_x
_atom_site_fract_y
_atom_site_fract_z
_atom_site_occupancy
Li1 0.000 0.000 0.000 1
Ca1 0.000 0.500 0.500 1
Ir1 0.240 0.500 0.218 1
```

Summary:
ΔE to the lowest computed polymorph ... 0.026 eV/atom
Uncorrected energy ... -5.508 eV per atom
ΔE_f ... -0.0990 eV per atom

---

Entry 2:
Here is crystalline BeCu2Tc at its relaxed geometry from Alexandria. Energies are from PBE-GGA.

Structure (CIF):
```
data_BeCu2Tc
_chemical_formula_sum 'Be2 Cu4 Tc2'
_space_group_name_H-M_alt 'C m m m'
_space_group_IT_number 65
_space_group_name_Hall '-C 2 2'
_cell_length_a 4.894
_cell_length_b 8.017
_cell_length_c 2.463
_cell_angle_alpha 90.00
_cell_angle_beta 90.00
_cell_angle_gamma 90.00
loop_
_atom_site_label
_atom_site_fract_x
_atom_site_fract_y
_atom_site_fract_z
_atom_site_occupancy
Be1 0.000 0.000 0.000 1
Cu1 0.250 0.250 0.500 1
Tc1 0.000 0.500 0.000 1
```

Summary:
Uncorrected energy ... -5.419 eV per atom
ΔE_f ... 0.1522 eV per atom

---

Entry 3:
Here is crystalline TcPtF2 at its relaxed geometry from Alexandria. Energies are from PBE-GGA.

Structure (CIF):
```
data_TcPtF2
_chemical_formula_sum 'Tc3 Pt3 F6'
_space_group_name_H-M_alt 'R -3 m'
_space_group_IT_number 166
_space_group_name_Hall '-R 3 2"'
_cell_length_a 2.6712
_cell_length_b 2.6712
_cell_length_c 31.5371
_cell_angle_alpha 90.00
_cell_angle_beta 90.00
_cell_angle_gamma 120.00
loop_
_atom_site_label
_atom_site_fract_x
_atom_site_fract_y
_atom_site_fract_z
_atom_site_occupancy
Tc1 0.0000 0.0000 0.0000 1
Pt1 0.0000 0.0000 0.5000 1
F1 0.0000 0.0000 0.0595 1
```

Summary:
E_form (uncorrected) ... -0.715 eV/atom
ΔE to the lowest computed polymorph ... 0.000 eV/atom
Uncorrected energy ... -5.753 eV per atom

---

Entry 4:
Here is crystalline Ca2LaSnRh at its relaxed geometry from Alexandria. Energies are from PBE-GGA.

Structure (CIF):
```
data_Ca2LaSnRh
_chemical_formula_sum 'Ca2 La1 Sn1 Rh1'
_space_group_name_H-M_alt 'P 4/m m m'
_space_group_IT_number 123
_space_group_name_Hall '-P 4 2'
_cell_length_a 5.413
_cell_length_b 5.413
_cell_length_c 5.423
_cell_angle_alpha 90.00
_cell_angle_beta 90.00
_cell_angle_gamma 90.00
loop_
_atom_site_label
_atom_site_fract_x
_atom_site_fract_y
_atom_site_fract_z
_atom_site_occupancy
Ca1 0.000 0.500 0.000 1
La1 0.000 0.000 0.500 1
Sn1 0.500 0.500 0.500 1
Rh1 0.000 0.000 0.000 1
```

Summary:
Uncorrected energy ... -4.522 eV per atom
ΔE_f ... -0.4654 eV per atom